Entry 1:
# Tb2Ga5Au3, relaxed, DFT GGA-PBE
# energy relative to the elements	-0.591	eV/atom
# calculated total energy	-0.2950	Ry/atom
# V	199	Å³/f.u.
# total magnetic moment	0.00	μB/cell
# ρ	10.5	g cm⁻³
data_Tb2Ga5Au3
_cell_length_a 10.972
_cell_length_b 11.964
_cell_length_c 6.073
_cell_angle_alpha 90.00
_cell_angle_beta 90.00
_cell_angle_gamma 90.00
_space_group_name_H-M_alt 'I b a m'
_space_group_IT_number 72
_space_group_name_Hall '-I 2 2c'
loop_
_atom_site_label
_atom_site_type_symbol
_atom_site_fract_x
_atom_site_fract_y
_atom_site_fract_z
Tb1 Tb 0.245 0.125 0.000
Ga1 Ga 0.000 0.000 0.250
Ga2 Ga 0.000 0.260 0.250
Ga3 Ga 0.143 0.380 0.000
Au1 Au 0.000 0.500 0.250
Au2 Au 0.131 0.131 0.500

---

Entry 2:
# Tb3Ga2Au7, relaxed, DFT GGA-PBE
# energy relative to the elements	-0.575	eV/atom
# calculated total energy	-0.3049	Ry/atom
# V	253	Å³/f.u.
# total magnetic moment	0.00	μB/cell
# ρ	13.1	g cm⁻³
data_Tb3Ga2Au7
_cell_length_a 4.209
_cell_length_b 4.209
_cell_length_c 28.501
_cell_angle_alpha 90.00
_cell_angle_beta 90.00
_cell_angle_gamma 90.00
_space_group_name_H-M_alt 'I 4/m m m'
_space_group_IT_number 139
_space_group_name_Hall '-I 4 2'
loop_
_atom_site_label
_atom_site_type_symbol
_atom_site_fract_x
_atom_site_fract_y
_atom_site_fract_z
Tb1 Tb 0.000 0.000 0.000
Tb2 Tb 0.000 0.000 0.173
Ga1 Ga 0.000 0.000 0.366
Au1 Au 0.000 0.000 0.276
Au2 Au 0.000 0.000 0.500
Au3 Au 0.000 0.500 0.079

---

Entry 3:
# TbGa3Au3, relaxed, DFT GGA-PBE
# energy relative to the elements	-0.442	eV/atom
# calculated total energy	-0.2797	Ry/atom
# V	144	Å³/f.u.
# total magnetic moment	0.00	μB/cell
# ρ	11.1	g cm⁻³
data_TbGa3Au3
_cell_length_a 7.423
_cell_length_b 4.512
_cell_length_c 9.005
_cell_angle_alpha 90.00
_cell_angle_beta 107.86
_cell_angle_gamma 90.00
_space_group_name_H-M_alt 'P 1 21/m 1'
_space_group_IT_number 11
loop_
_space_group_symop_operation_xyz
'x,y,z'
'-x,-y,-z'
'-x,y+1/2,-z'
'x,-y+1/2,z'
loop_
_atom_site_label
_atom_site_type_symbol
_atom_site_fract_x
_atom_site_fract_y
_atom_site_fract_z
Tb1 Tb 0.204 0.250 0.278
Ga1 Ga 0.119 0.250 0.907
Ga2 Ga 0.229 0.750 0.746
Ga3 Ga 0.462 0.250 0.718
Au1 Au 0.018 0.250 0.603
Au2 Au 0.231 0.750 0.046
Au3 Au 0.392 0.750 0.534

---

Entry 4:
# TbGa2Au, relaxed, DFT GGA-PBE
# energy relative to the elements	-0.572	eV/atom
# calculated total energy	-0.2986	Ry/atom
# V	80	Å³/f.u.
# total magnetic moment	0.00	μB/cell
# ρ	10.3	g cm⁻³
data_TbGa2Au
_cell_length_a 4.310
_cell_length_b 4.310
_cell_length_c 4.299
_cell_angle_alpha 90.00
_cell_angle_beta 90.00
_cell_angle_gamma 90.00
_space_group_name_H-M_alt 'P 4/m m m'
_space_group_IT_number 123
_space_group_name_Hall '-P 4 2'
loop_
_atom_site_label
_atom_site_type_symbol
_atom_site_fract_x
_atom_site_fract_y
_atom_site_fract_z
Tb1 Tb 0.000 0.000 0.000
Ga1 Ga 0.000 0.500 0.500
Au1 Au 0.500 0.500 0.000

---

Entry 5:
# Tb2Ga12Au, relaxed, DFT GGA-PBE
# energy relative to the elements	-0.313	eV/atom
# calculated total energy	-0.2624	Ry/atom
# V	295	Å³/f.u.
# total magnetic moment	0.00	μB/cell
# ρ	7.6	g cm⁻³
data_Tb2Ga12Au
_cell_length_a 6.201
_cell_length_b 6.201
_cell_length_c 15.340
_cell_angle_alpha 90.00
_cell_angle_beta 90.00
_cell_angle_gamma 90.00
_space_group_name_H-M_alt 'P 4/n b m'
_space_group_IT_number 125
loop_
_space_group_symop_operation_xyz
'x,y,z'
'-x,-y,-z'
'-y+1/2,x,z'
'y+1/2,-x,-z'
'-x+1/2,-y+1/2,z'
'x+1/2,y+1/2,-z'
'y,-x+1/2,z'
'-y,x+1/2,-z'
'x,-y+1/2,-z'
'-x,y+1/2,z'
'-y+1/2,-x+1/2,-z'
'y+1/2,x+1/2,z'
'-x+1/2,y,-z'
'x+1/2,-y,z'
'y,x,-z'
'-y,-x,z'
loop_
_atom_site_label
_atom_site_type_symbol
_atom_site_fract_x
_atom_site_fract_y
_atom_site_fract_z
Tb1 Tb 0.250 0.750 0.249
Ga1 Ga 0.000 0.000 0.096
Ga2 Ga 0.083 0.583 0.431
Ga3 Ga 0.250 0.250 0.188
Ga4 Ga 0.250 0.250 0.347
Au1 Au 0.250 0.750 0.000

---

Entry 6:
# TbGaAu4, relaxed, DFT GGA-PBE
# energy relative to the elements	-0.456	eV/atom
# calculated total energy	-0.2879	Ry/atom
# V	122	Å³/f.u.
# total magnetic moment	0.00	μB/cell
# ρ	13.8	g cm⁻³
data_TbGaAu4
_cell_length_a 11.359
_cell_length_b 6.000
_cell_length_c 7.464
_cell_angle_alpha 90.00
_cell_angle_beta 105.86
_cell_angle_gamma 90.00
_space_group_name_H-M_alt 'C 1 2/m 1'
_space_group_IT_number 12
loop_
_space_group_symop_operation_xyz
'x,y,z'
'-x,-y,-z'
'-x,y,-z'
'x,-y,z'
'x+1/2,y+1/2,z'
'-x+1/2,-y+1/2,-z'
'-x+1/2,y+1/2,-z'
'x+1/2,-y+1/2,z'
loop_
_atom_site_label
_atom_site_type_symbol
_atom_site_fract_x
_atom_site_fract_y
_atom_site_fract_z
Tb1 Tb 0.245 0.000 0.319
Ga1 Ga 0.062 0.500 0.248
Au1 Au 0.000 0.243 0.500
Au2 Au 0.116 0.244 0.954
Au3 Au 0.210 0.000 0.695

---

Entry 7:
# Tb2Ga4Au3, relaxed, DFT GGA-PBE
# energy relative to the elements	-0.583	eV/atom
# calculated total energy	-0.2976	Ry/atom
# V	178	Å³/f.u.
# total magnetic moment	0.00	μB/cell
# ρ	11.1	g cm⁻³
data_Tb2Ga4Au3
_cell_length_a 5.928
_cell_length_b 15.468
_cell_length_c 7.753
_cell_angle_alpha 90.00
_cell_angle_beta 90.00
_cell_angle_gamma 90.00
_space_group_name_H-M_alt 'C m c e'
_space_group_IT_number 64
_space_group_name_Hall '-C 2ac 2'
loop_
_atom_site_label
_atom_site_type_symbol
_atom_site_fract_x
_atom_site_fract_y
_atom_site_fract_z
Tb1 Tb 0.000 0.107 0.090
Ga1 Ga 0.000 0.175 0.477
Ga2 Ga 0.250 0.061 0.750
Au1 Au 0.000 0.000 0.500
Au2 Au 0.250 0.232 0.750

---

Entry 8:
# Tb2TiGa4Au3, relaxed, DFT GGA-PBE
# energy relative to the elements	-0.581	eV/atom
# calculated total energy	-0.3301	Ry/atom
# V	200	Å³/f.u.
# total magnetic moment	0.00	μB/cell
# ρ	10.3	g cm⁻³
data_Tb2TiGa4Au3
_cell_length_a 4.164
_cell_length_b 4.164
_cell_length_c 11.527
_cell_angle_alpha 90.00
_cell_angle_beta 90.00
_cell_angle_gamma 90.00
_space_group_name_H-M_alt 'P -4 m 2'
_space_group_IT_number 115
loop_
_space_group_symop_operation_xyz
'x,y,z'
'y,-x,-z'
'-x,-y,z'
'-y,x,-z'
'-x,y,z'
'-y,-x,-z'
'x,-y,z'
'y,x,-z'
loop_
_atom_site_label
_atom_site_type_symbol
_atom_site_fract_x
_atom_site_fract_y
_atom_site_fract_z
Tb1 Tb 0.000 0.500 0.245
Ti1 Ti 0.500 0.500 0.000
Ga1 Ga 0.000 0.000 0.500
Ga2 Ga 0.000 0.500 0.859
Ga3 Ga 0.500 0.500 0.500
Au1 Au 0.000 0.000 0.000
Au2 Au 0.000 0.500 0.640

---

Among the records above, which one has the lowest energy relative to the elements?
Tb2Ga5Au3

---

Among the records above, which one has the highest V?
Tb2Ga12Au

---

Repeat the sixth record exactly.
# TbGaAu4, relaxed, DFT GGA-PBE
# energy relative to the elements	-0.456	eV/atom
# calculated total energy	-0.2879	Ry/atom
# V	122	Å³/f.u.
# total magnetic moment	0.00	μB/cell
# ρ	13.8	g cm⁻³
data_TbGaAu4
_cell_length_a 11.359
_cell_length_b 6.000
_cell_length_c 7.464
_cell_angle_alpha 90.00
_cell_angle_beta 105.86
_cell_angle_gamma 90.00
_space_group_name_H-M_alt 'C 1 2/m 1'
_space_group_IT_number 12
loop_
_space_group_symop_operation_xyz
'x,y,z'
'-x,-y,-z'
'-x,y,-z'
'x,-y,z'
'x+1/2,y+1/2,z'
'-x+1/2,-y+1/2,-z'
'-x+1/2,y+1/2,-z'
'x+1/2,-y+1/2,z'
loop_
_atom_site_label
_atom_site_type_symbol
_atom_site_fract_x
_atom_site_fract_y
_atom_site_fract_z
Tb1 Tb 0.245 0.000 0.319
Ga1 Ga 0.062 0.500 0.248
Au1 Au 0.000 0.243 0.500
Au2 Au 0.116 0.244 0.954
Au3 Au 0.210 0.000 0.695

---

Which formula does entry 1 have?
Tb2Ga5Au3